{
  "formula": "ZrSc2Pd2",
  "functional": "PBE",
  "state": "optimized geometry",
  "delta_e_f_ev_per_atom": -0.361,
  "e_above_lowest_polymorph_ev_per_fu": 1.25,
  "total_energy_ev_per_atom": -6.680,
  "sg": "I4/mmm",
  "lattice_angstrom": [[4.299, 0.000, 0.000], [0.000, 4.299, 0.000], [2.149, 2.149, 5.673]],
  "species": ["Zr", "Pd", "Pd", "Sc", "Sc"],
  "frac_coords": [[0.000, 0.000, 0.000], [0.389, 0.389, 0.222], [0.611, 0.611, 0.778], [0.750, 0.250, 0.500], [0.250, 0.750, 0.500]]
}